1.
CrSiRu2: optimized geometry, PBE.

a = 2.8455 Å, b = 4.5459 Å, c = 8.2392 Å
α = 90.00°, β = 90.00°, γ = 90.00°
With the nearest neighbours (Å) after each atom.
Element x y z (fractional)
Cr  0.0000  0.0000  0.0000  2 Si 2.41, 2 Ru 2.48, 4 Cr 2.68
Cr  0.5000  0.5000  0.0000  2 Si 2.41, 2 Ru 2.48, 4 Cr 2.68
Si  0.0000  0.5000  0.2359  2 Ru 2.38, 2 Cr 2.41
Si  0.5000  0.0000  0.2359  2 Ru 2.38, 2 Cr 2.41
Ru  0.0000  0.0000  0.4669  2 Si 2.38
Ru  0.0000  0.5000  0.7538  2 Cr 2.48, 6 Ru 2.68-2.76
Ru  0.5000  0.0000  0.7538  2 Cr 2.48, 6 Ru 2.68-2.76
Ru  0.5000  0.5000  0.4669  2 Si 2.38

Values from the calculation:
Volume ... 53.3 Å³/f.u.
D(E_F) ... 4.6 states/eV/f.u.
Space group ... Cmm2 (35)
Uncorrected formation energy ... 158 meV per atom
Energy ... -8.242 eV/atom
Magnetization ... 0.0 μB per formula unit

***

2.
Ta2CrSiRu: optimized geometry, PBE.

a = 4.6109 Å, b = 4.6109 Å, c = 4.1775 Å
α = 90.00°, β = 90.00°, γ = 90.00°
With the nearest neighbours (Å) after each atom.
Element x y z (fractional)
Ta  0.0000  0.5000  0.0000  2 Si 2.31
Ta  0.5000  0.0000  0.0000  2 Si 2.31
Cr  0.0000  0.0000  0.5000  2 Si 2.09
Si  0.0000  0.0000  0.0000  2 Cr 2.09, 4 Ta 2.31
Ru  0.5000  0.5000  0.5000  8 Ta 3.11, 4 Cr 3.26

Values from the calculation:
Volume ... 88.8 Å³/f.u.
D(E_F) ... 4.8 states/eV/f.u.
Space group ... P4/mmm (123)
Uncorrected formation energy ... 920 meV per atom
Energy ... -8.685 eV/atom
Magnetization ... 1.5 μB per formula unit

***

3.
YCrSi2Ru: optimized geometry, PBE.

a = 5.0907 Å, b = 5.0907 Å, c = 4.9170 Å
α = 90.00°, β = 90.00°, γ = 90.00°
With the nearest neighbours (Å) after each atom.
Element x y z (fractional)
Y  0.0000  0.0000  0.0000  2 Cr 2.46, 4 Si 2.55
Cr  0.0000  0.0000  0.5000  2 Y 2.46
Si  0.0000  0.5000  0.0000  2 Y 2.55
Si  0.5000  0.0000  0.0000  2 Y 2.55
Ru  0.5000  0.5000  0.5000  8 Si 3.54, 4 Cr 3.60

Values from the calculation:
Volume ... 127.4 Å³/f.u.
D(E_F) ... 7.3 states/eV/f.u.
Space group ... P4/mmm (123)
Uncorrected formation energy ... 2045 meV per atom
Energy ... -5.197 eV/atom
Magnetization ... 6.2 μB per formula unit

***

4.
SmCrRu: optimized geometry, PBE.

a = 6.7778 Å, b = 6.7778 Å, c = 6.0006 Å
α = 90.00°, β = 90.00°, γ = 90.00°
With the nearest neighbours (Å) after each atom.
Element x y z (fractional)
Sm  0.2366  0.2366  0.0000  3 Ru 2.87-3.00, 2 Cr 3.07
Sm  0.2634  0.7366  0.2500  3 Ru 2.87-3.00, 2 Cr 3.07
Sm  0.7366  0.2634  0.7500  3 Ru 2.87-3.00, 2 Cr 3.07
Sm  0.7634  0.7634  0.5000  3 Ru 2.87-3.00, 2 Cr 3.07
Cr  0.1934  0.8066  0.7500  3 Ru 2.34-2.46
Cr  0.3066  0.3066  0.5000  3 Ru 2.34-2.46
Cr  0.6934  0.6934  0.0000  3 Ru 2.34-2.46
Cr  0.8066  0.1934  0.2500  3 Ru 2.34-2.46
Ru  0.0628  0.0628  0.5000  3 Cr 2.34-2.46
Ru  0.4372  0.5628  0.7500  3 Cr 2.34-2.46
Ru  0.5628  0.4372  0.2500  3 Cr 2.34-2.46
Ru  0.9372  0.9372  0.0000  3 Cr 2.34-2.46

Values from the calculation:
Volume ... 68.9 Å³/f.u.
D(E_F) ... 2.2 states/eV/f.u.
Space group ... P4_12_12 (92)
Energy ... -7.515 eV/atom
Magnetization ... 2.6 μB per formula unit
ΔH_f (0 K) ... 358 meV/atom

***

5.
CrSnRu: optimized geometry, PBE.

a = 4.4485 Å, b = 4.4485 Å, c = 5.5170 Å
α = 90.00°, β = 90.00°, γ = 120.00°
With the nearest neighbours (Å) after each atom.
Element x y z (fractional)
Cr  0.0000  0.0000  0.0000  5 Sn 2.68-2.84, 3 Cr 2.77
Cr  0.3333  0.6667  0.8115  5 Ru 2.69-2.79, 3 Cr 2.77
Sn  0.0000  0.0000  0.5148  2 Cr 2.68-2.84, 6 Ru 2.70-2.82
Sn  0.6667  0.3333  0.1447  5 Ru 2.63-2.88, 3 Cr 2.69
Ru  0.3333  0.6667  0.3052  6 Sn 2.72-2.82, 2 Cr 2.72-2.79
Ru  0.6667  0.3333  0.6675  5 Sn 2.63-2.88, 3 Cr 2.69

Values from the calculation:
Volume ... 47.3 Å³/f.u.
D(E_F) ... 2.3 states/eV/f.u.
Space group ... P3m1 (156)
Energy ... -7.493 eV/atom
Magnetization ... 2.2 μB per formula unit
ΔH_f (0 K) ... 141 meV/atom

***

6.
Cr3SnRu: optimized geometry, PBE.

a = 4.6816 Å, b = 4.6816 Å, c = 4.6816 Å
α = 90.00°, β = 90.00°, γ = 90.00°
With the nearest neighbours (Å) after each atom.
Element x y z (fractional)
Cr  0.0000  0.0000  0.5000  2 Ru 2.34
Cr  0.0000  0.5000  0.0000  2 Ru 2.34
Cr  0.5000  0.0000  0.0000  2 Ru 2.34
Sn  0.5000  0.5000  0.5000  12 Cr 3.31
Ru  0.0000  0.0000  0.0000  6 Cr 2.34

Values from the calculation:
Volume ... 102.6 Å³/f.u.
D(E_F) ... 4.5 states/eV/f.u.
Space group ... Pm-3m (221)
Energy ... -7.368 eV/atom
Magnetization ... 9.2 μB per formula unit
ΔH_f (0 K) ... 1062 meV/atom

***

7.
CrSnRu2: optimized geometry, PBE.

a = 6.9769 Å, b = 6.9769 Å, c = 5.5047 Å
α = 90.00°, β = 90.00°, γ = 90.00°
With the nearest neighbours (Å) after each atom.
Element x y z (fractional)
Cr  0.0000  0.0000  0.0000  4 Ru 2.28
Cr  0.0000  0.5000  0.2500  4 Ru 2.28
Cr  0.5000  0.0000  0.7500  4 Ru 2.28
Cr  0.5000  0.5000  0.5000  4 Ru 2.28
Sn  0.0000  0.0000  0.5000  2 Cr 2.75, 8 Ru 2.88-3.00
Sn  0.0000  0.5000  0.7500  2 Cr 2.75, 8 Ru 2.88-3.00
Sn  0.5000  0.0000  0.2500  2 Cr 2.75, 8 Ru 2.88-3.00
Sn  0.5000  0.5000  0.0000  2 Cr 2.75, 8 Ru 2.88-3.00
Ru  0.1870  0.2500  0.1250  2 Cr 2.28
Ru  0.2500  0.6870  0.3750  2 Cr 2.28
Ru  0.2500  0.8130  0.8750  2 Cr 2.28
Ru  0.3130  0.2500  0.6250  2 Cr 2.28
Ru  0.6870  0.7500  0.6250  2 Cr 2.28
Ru  0.7500  0.1870  0.8750  2 Cr 2.28
Ru  0.7500  0.3130  0.3750  2 Cr 2.28
Ru  0.8130  0.7500  0.1250  2 Cr 2.28

Values from the calculation:
Volume ... 67.0 Å³/f.u.
D(E_F) ... 0.8 states/eV/f.u.
Space group ... I-42d (122)
Energy ... -7.578 eV/atom
Magnetization ... 0.0 μB per formula unit
ΔH_f (0 K) ... 467 meV/atom

***

8.
CrSnRu: optimized geometry, PBE.

a = 4.5785 Å, b = 3.0238 Å, c = 7.1434 Å
α = 90.00°, β = 106.23°, γ = 90.00°
With the nearest neighbours (Å) after each atom.
Element x y z (fractional)
Cr  0.1938  0.2500  0.0221  2 Cr 2.28
Cr  0.8062  0.7500  0.9779  2 Cr 2.28
Sn  0.2154  0.7500  0.6971  5 Ru 2.74-2.78, 3 Cr 2.80-2.88, 2 Sn 3.02
Sn  0.7846  0.2500  0.3029  5 Ru 2.74-2.78, 3 Cr 2.80-2.88, 2 Sn 3.02
Ru  0.2933  0.7500  0.3249  3 Cr 2.57-2.83, 5 Sn 2.74-2.78
Ru  0.7067  0.2500  0.6751  3 Cr 2.57-2.83, 5 Sn 2.74-2.78

Values from the calculation:
Volume ... 47.5 Å³/f.u.
D(E_F) ... 2.3 states/eV/f.u.
Space group ... P2_1/m (11)
Energy ... -7.514 eV/atom
Magnetization ... 0.0 μB per formula unit
ΔH_f (0 K) ... 120 meV/atom

***

9.
CrSnRu: optimized geometry, PBE.

a = 9.2199 Å, b = 3.0649 Å, c = 7.0597 Å
α = 90.00°, β = 104.53°, γ = 90.00°
With the nearest neighbours (Å) after each atom.
Element x y z (fractional)
Cr  0.0000  0.0000  0.0000  2 Cr 2.38, 2 Ru 2.66
Cr  0.1645  0.5000  0.8998  2 Cr 2.38, 2 Ru 2.58
Cr  0.5000  0.5000  0.0000  2 Cr 2.38, 2 Ru 2.66
Cr  0.6645  0.0000  0.8998  2 Cr 2.38, 2 Ru 2.58
Sn  0.1415  0.5000  0.3218  5 Ru 2.73-2.82, 3 Cr 2.78-3.04
Sn  0.3382  0.0000  0.7027  3 Ru 2.69-2.70, 5 Cr 2.72-2.98
Sn  0.6415  0.0000  0.3218  5 Ru 2.73-2.82, 3 Cr 2.78-3.04
Sn  0.8382  0.5000  0.7027  3 Ru 2.69-2.70, 5 Cr 2.72-2.98
Ru  0.0379  0.0000  0.5802  5 Sn 2.69-2.73, 2 Cr 2.74
Ru  0.3287  0.0000  0.1627  4 Cr 2.58-2.66, 3 Sn 2.75-2.82
Ru  0.5379  0.5000  0.5802  5 Sn 2.69-2.73, 2 Cr 2.74
Ru  0.8287  0.5000  0.1627  4 Cr 2.58-2.66, 3 Sn 2.75-2.82

Values from the calculation:
Volume ... 48.3 Å³/f.u.
D(E_F) ... 2.6 states/eV/f.u.
Space group ... Cm (8)
Energy ... -7.465 eV/atom
Magnetization ... 0.1 μB per formula unit
ΔH_f (0 K) ... 169 meV/atom

***

10.
CrSnRu2: optimized geometry, PBE.

a = 4.3943 Å, b = 4.3943 Å, c = 3.1580 Å
α = 90.00°, β = 90.00°, γ = 90.00°
With the nearest neighbours (Å) after each atom.
Element x y z (fractional)
Cr  0.0000  0.0000  0.0000  8 Ru 2.71
Sn  0.5000  0.5000  0.0000  8 Ru 2.71
Ru  0.0000  0.5000  0.5000  4 Cr 2.71, 4 Sn 2.71
Ru  0.5000  0.0000  0.5000  4 Cr 2.71, 4 Sn 2.71

Values from the calculation:
Volume ... 61.0 Å³/f.u.
D(E_F) ... 4.6 states/eV/f.u.
Space group ... P4/mmm (123)
Energy ... -8.021 eV/atom
Magnetization ... 2.3 μB per formula unit
ΔH_f (0 K) ... 24 meV/atom

***

11.
CrSnRu: optimized geometry, PBE.

a = 2.9585 Å, b = 2.8994 Å, c = 11.4570 Å
α = 90.00°, β = 90.00°, γ = 90.00°
With the nearest neighbours (Å) after each atom.
Element x y z (fractional)
Cr  0.0000  0.0000  0.0000  4 Ru 2.47
Cr  0.0000  0.5000  0.5000  4 Ru 2.47
Sn  0.5000  0.0000  0.6725  2 Ru 2.80, 4 Cr 2.86, 4 Sn 2.90-2.96
Sn  0.5000  0.5000  0.1725  2 Ru 2.80, 4 Cr 2.86, 4 Sn 2.90-2.96
Ru  0.5000  0.0000  0.3820  4 Cr 2.47
Ru  0.5000  0.5000  0.8820  4 Cr 2.47

Values from the calculation:
Volume ... 49.1 Å³/f.u.
D(E_F) ... 2.7 states/eV/f.u.
Space group ... Amm2 (38)
Energy ... -7.454 eV/atom
Magnetization ... 0.0 μB per formula unit
ΔH_f (0 K) ... 180 meV/atom

***

12.
CrSnRu: optimized geometry, PBE.

a = 4.1958 Å, b = 6.3268 Å, c = 7.3395 Å
α = 90.00°, β = 90.00°, γ = 90.00°
With the nearest neighbours (Å) after each atom.
Element x y z (fractional)
Cr  0.0000  0.1625  0.0000  1 Cr 2.06
Cr  0.0000  0.8375  0.0000  1 Cr 2.06
Cr  0.5000  0.3375  0.5000  1 Cr 2.06
Cr  0.5000  0.6625  0.5000  1 Cr 2.06
Sn  0.0000  0.0000  0.3759  6 Ru 2.85-2.90, 6 Cr 2.94-3.13
Sn  0.0000  0.5000  0.2824  6 Cr 2.83-2.98, 4 Ru 2.87
Sn  0.5000  0.0000  0.7824  6 Cr 2.83-2.98, 4 Ru 2.87
Sn  0.5000  0.5000  0.8759  6 Ru 2.85-2.90, 6 Cr 2.94-3.13
Ru  0.0000  0.2840  0.6778  3 Cr 2.49, 1 Ru 2.73
Ru  0.0000  0.7160  0.6778  3 Cr 2.49, 1 Ru 2.73
Ru  0.5000  0.2160  0.1778  3 Cr 2.49, 1 Ru 2.73
Ru  0.5000  0.7840  0.1778  3 Cr 2.49, 1 Ru 2.73

Values from the calculation:
Volume ... 48.7 Å³/f.u.
D(E_F) ... 2.2 states/eV/f.u.
Space group ... Imm2 (44)
Energy ... -7.455 eV/atom
Magnetization ... 0.0 μB per formula unit
ΔH_f (0 K) ... 179 meV/atom